A geometry-optimized HfTcSnWF structure, computed with GGA+U.

Values from the calculation:
Energy relative to the lowest polymorph listed for this composition = 0.3490 eV per atom

abc: 5.5067 5.5067 6.0492
angles: 110.03 110.03 34.34
Fractional coordinates of all 5 atoms:
Hf1 0.0000 0.0000 0.0000
Tc1 0.3504 0.3504 0.2282
Sn1 0.6829 0.6829 0.4356
W1 0.7177 0.7177 0.9384
F1 0.4723 0.4723 0.7383